The following is a DFT calculation (PBE with a Hubbard U) of a relaxed structure of Li2VTeO6.

```
10
Lattice="4.1151 0.0000 0.0000 0.0000 5.4682 0.0000 0.0000 0.0000 5.4682" Properties=species:S:1:pos:R:3 pbc="T T T"
O 3.0067 1.4182 4.0500
V 2.5569 2.7341 2.7341
O 3.0067 4.0500 4.0500
O 3.0067 4.0500 1.4182
O 0.9128 2.7341 2.7341
O 0.7485 0.0000 0.0000
O 3.0067 1.4182 1.4182
Te 2.6947 0.0000 0.0000
Li 3.7946 2.7341 0.0000
Li 3.7946 0.0000 2.7341
```

Summary:
Total energy = -5.947 eV/atom
Mass density = 3.89 g/cm³